No. 1
# LaAl4Co PBEsol relaxed
data_LaAl4Co
_chemical_formula_sum 'La2 Al8 Co2'
_space_group_name_H-M_alt 'P m m a'
_space_group_IT_number 51
_cell_length_a 7.626
_cell_length_b 4.027
_cell_length_c 6.923
_cell_angle_alpha 90.00
_cell_angle_beta 90.00
_cell_angle_gamma 90.00
loop_
_space_group_symop_operation_xyz
'x,y,z'
'-x,-y,-z'
'-x+1/2,-y,z'
'x+1/2,y,-z'
'x+1/2,-y,-z'
'-x+1/2,y,z'
'-x,y,-z'
'x,-y,z'
loop_
_atom_site_label
_atom_site_type_symbol
_atom_site_fract_x
_atom_site_fract_y
_atom_site_fract_z
_atom_site_occupancy
La1 La 0.250 0.000 0.112 1
Al1 Al 0.000 0.000 0.500 1
Al2 Al 0.070 0.500 0.792 1
Al3 Al 0.250 0.500 0.456 1
Co1 Co 0.250 0.000 0.684 1
# energy of formation: -0.521 eV per atom
# VASP energy: -5.43 eV/atom



No. 2
# LaAl2CoSn PBEsol relaxed
data_LaAl2CoSn
_chemical_formula_sum 'La1 Al2 Co1 Sn1'
_space_group_name_H-M_alt 'P 4/m m m'
_space_group_IT_number 123
_space_group_name_Hall '-P 4 2'
_cell_length_a 4.645
_cell_length_b 4.645
_cell_length_c 4.966
_cell_angle_alpha 90.00
_cell_angle_beta 90.00
_cell_angle_gamma 90.00
loop_
_atom_site_label
_atom_site_type_symbol
_atom_site_fract_x
_atom_site_fract_y
_atom_site_fract_z
_atom_site_occupancy
La1 La 0.000 0.000 0.000 1
Al1 Al 0.000 0.500 0.500 1
Co1 Co 0.000 0.000 0.500 1
Sn1 Sn 0.500 0.500 0.000 1
# energy of formation: -0.320 eV per atom
# VASP energy: -5.43 eV/atom



No. 3
# LiAlCo PBEsol relaxed
data_LiAlCo
_chemical_formula_sum 'Li2 Al2 Co2'
_space_group_name_H-M_alt 'I 4 m m'
_space_group_IT_number 107
_space_group_name_Hall 'I 4 -2'
_cell_length_a 2.911
_cell_length_b 2.911
_cell_length_c 8.419
_cell_angle_alpha 90.00
_cell_angle_beta 90.00
_cell_angle_gamma 90.00
loop_
_atom_site_label
_atom_site_type_symbol
_atom_site_fract_x
_atom_site_fract_y
_atom_site_fract_z
_atom_site_occupancy
Li1 Li 0.000 0.000 0.000 1
Al1 Al 0.000 0.000 0.307 1
Co1 Co 0.000 0.000 0.660 1
# energy of formation: -0.121 eV per atom
# VASP energy: -4.72 eV/atom



No. 4
# Li2AlCo PBEsol relaxed
data_Li2AlCo
_chemical_formula_sum 'Li2 Al1 Co1'
_space_group_name_H-M_alt 'P 4/m m m'
_space_group_IT_number 123
_space_group_name_Hall '-P 4 2'
_cell_length_a 3.426
_cell_length_b 3.426
_cell_length_c 4.321
_cell_angle_alpha 90.00
_cell_angle_beta 90.00
_cell_angle_gamma 90.00
loop_
_atom_site_label
_atom_site_type_symbol
_atom_site_fract_x
_atom_site_fract_y
_atom_site_fract_z
_atom_site_occupancy
Li1 Li 0.000 0.500 0.000 1
Al1 Al 0.000 0.000 0.500 1
Co1 Co 0.500 0.500 0.500 1
# energy of formation: -0.002 eV per atom
# VASP energy: -3.94 eV/atom



No. 5
# LiAl2Co PBEsol relaxed
data_LiAl2Co
_chemical_formula_sum 'Li1 Al2 Co1'
_space_group_name_H-M_alt 'P 4/m m m'
_space_group_IT_number 123
_space_group_name_Hall '-P 4 2'
_cell_length_a 2.886
_cell_length_b 2.886
_cell_length_c 6.226
_cell_angle_alpha 90.00
_cell_angle_beta 90.00
_cell_angle_gamma 90.00
loop_
_atom_site_label
_atom_site_type_symbol
_atom_site_fract_x
_atom_site_fract_y
_atom_site_fract_z
_atom_site_occupancy
Li1 Li 0.000 0.000 0.000 1
Al1 Al 0.500 0.500 0.281 1
Co1 Co 0.000 0.000 0.500 1
# energy of formation: -0.361 eV per atom
# VASP energy: -4.83 eV/atom



No. 6
# LiAlCo PBEsol relaxed
data_LiAlCo
_chemical_formula_sum 'Li2 Al2 Co2'
_space_group_name_H-M_alt 'I m m 2'
_space_group_IT_number 44
_cell_length_a 2.589
_cell_length_b 3.631
_cell_length_c 7.693
_cell_angle_alpha 90.00
_cell_angle_beta 90.00
_cell_angle_gamma 90.00
loop_
_space_group_symop_operation_xyz
'x,y,z'
'-x,-y,z'
'-x,y,z'
'x,-y,z'
'x+1/2,y+1/2,z+1/2'
'-x+1/2,-y+1/2,z+1/2'
'-x+1/2,y+1/2,z+1/2'
'x+1/2,-y+1/2,z+1/2'
loop_
_atom_site_label
_atom_site_type_symbol
_atom_site_fract_x
_atom_site_fract_y
_atom_site_fract_z
_atom_site_occupancy
Li1 Li 0.000 0.000 0.000 1
Al1 Al 0.000 0.000 0.681 1
Co1 Co 0.000 0.000 0.327 1
# energy of formation: -0.092 eV per atom
# VASP energy: -4.69 eV/atom



No. 7
# LiAl2Co PBEsol relaxed
data_LiAl2Co
_chemical_formula_sum 'Li1 Al2 Co1'
_space_group_name_H-M_alt 'P 4/m m m'
_space_group_IT_number 123
_space_group_name_Hall '-P 4 2'
_cell_length_a 4.127
_cell_length_b 4.127
_cell_length_c 2.865
_cell_angle_alpha 90.00
_cell_angle_beta 90.00
_cell_angle_gamma 90.00
loop_
_atom_site_label
_atom_site_type_symbol
_atom_site_fract_x
_atom_site_fract_y
_atom_site_fract_z
_atom_site_occupancy
Li1 Li 0.000 0.000 0.000 1
Al1 Al 0.000 0.500 0.500 1
Co1 Co 0.500 0.500 0.000 1
# energy of formation: -0.320 eV per atom
# VASP energy: -4.79 eV/atom



No. 8
# Li2AlCo PBEsol relaxed
data_Li2AlCo
_chemical_formula_sum 'Li2 Al1 Co1'
_space_group_name_H-M_alt 'P 1 2/m 1'
_space_group_IT_number 10
_cell_length_a 2.632
_cell_length_b 4.531
_cell_length_c 4.263
_cell_angle_alpha 90.00
_cell_angle_beta 94.11
_cell_angle_gamma 90.00
loop_
_space_group_symop_operation_xyz
'x,y,z'
'-x,-y,-z'
'-x,y,-z'
'x,-y,z'
loop_
_atom_site_label
_atom_site_type_symbol
_atom_site_fract_x
_atom_site_fract_y
_atom_site_fract_z
_atom_site_occupancy
Li1 Li 0.235 0.000 0.267 1
Al1 Al 0.500 0.500 0.000 1
Co1 Co 0.000 0.500 0.500 1
# energy of formation: -0.038 eV per atom
# VASP energy: -3.98 eV/atom